No. 1
Below is crystalline Cd3Au5 at its relaxed geometry, with properties calculated at the PBE level.

Computed properties:
Crystal system: monoclinic
Formation energy from the elements, eV per atom: -0.111

Cell: 5.506 14.885 7.801 Å, 90.00 98.95 90.00°
Space group Cm (No. 8)
Asymmetric unit:
Cd 0.000 0.000 0.000 (multiplicity 2)
Cd 0.086 0.500 0.605 (multiplicity 2)
Cd 0.186 0.287 0.664 (multiplicity 4)
Cd 0.272 0.332 0.258 (multiplicity 4)
Au 0.035 0.401 0.927 (multiplicity 4)
Au 0.091 0.095 0.687 (multiplicity 4)
Au 0.097 0.202 0.996 (multiplicity 4)
Au 0.304 0.156 0.391 (multiplicity 4)
Au 0.464 0.000 0.231 (multiplicity 2)
Au 0.482 0.500 0.365 (multiplicity 2)

No. 2
Below is crystalline CdAu3 at its relaxed geometry, with properties calculated at the PBE level.

Computed properties:
Crystal system: cubic
Formation energy from the elements, eV per atom: -0.028

Cell: 5.372 5.372 5.372 Å, 90.00 90.00 90.00°
Space group Pm-3n (No. 223)
Asymmetric unit:
Cd 0.000 0.000 0.000 (multiplicity 2)
Au 0.000 0.250 0.500 (multiplicity 6)

No. 3
Below is crystalline Cd5Au7 at its relaxed geometry, with properties calculated at the PBE level.

Computed properties:
Crystal system: monoclinic
Formation energy from the elements, eV per atom: -0.124

Cell: 15.246 3.105 11.060 Å, 90.00 118.43 90.00°
Space group C2/m (No. 12)
Asymmetric unit:
Cd 0.000 0.000 0.000 (multiplicity 2)
Cd 0.161 0.000 0.494 (multiplicity 4)
Cd 0.200 0.500 0.760 (multiplicity 4)
Au 0.000 0.500 0.500 (multiplicity 2)
Au 0.031 0.000 0.751 (multiplicity 4)
Au 0.140 0.500 0.254 (multiplicity 4)
Au 0.163 0.500 0.998 (multiplicity 4)